(1)
Crystalline NaIrS3 at its relaxed geometry, computed with GGA-PBE.

Properties
The value obtained for the total magnetic moment is 2.709 μB per cell. The calculation puts the formation energy (no corrections) at 0.092 eV/atom.

a b c (Å): 4.7724 4.7724 4.7724
angles (deg): 90.00 90.00 90.00
With the nearest neighbours (Å) after each atom.
Space group Pm-3m (No. 221)
Asymmetric unit:
Na  0.0000  0.0000  0.0000 x1  12 S 3.37
Ir  0.5000  0.5000  0.5000 x1  6 S 2.39
S  0.0000  0.5000  0.5000 x3  2 Ir 2.39

---

(2)
Crystalline Tm2HgRh at its relaxed geometry, computed with GGA-PBE.

Properties
The value obtained for the total magnetic moment is 0.000 μB per cell. The value obtained for the energy of formation from the pure elements is -60.3 kJ/mol of atoms.

a b c (Å): 3.8785 3.8785 22.9942
angles (deg): 90.00 90.00 120.00
With the nearest neighbours (Å) after each atom.
Space group R-3m (No. 166, hexagonal axes)
Asymmetric unit:
Tm  0.0000  0.0000  0.2344 x6  3 Rh 2.73
Hg  0.0000  0.0000  0.0000 x3  6 Tm 3.19
Rh  0.0000  0.0000  0.5000 x3  6 Tm 2.73